# Pm2DyAg | Alexandria | PBE-GGA | relaxed
data_Pm2DyAg
_chemical_formula_sum 'Pm2 Dy1 Ag1'
_cell_length_a 3.6654
_cell_length_b 3.6654
_cell_length_c 8.8387
_cell_angle_alpha 90.00
_cell_angle_beta 90.00
_cell_angle_gamma 90.00
_space_group_name_H-M_alt 'P 4/m m m'
_space_group_IT_number 123
_space_group_name_Hall '-P 4 2'
loop_
_atom_site_label
_atom_site_type_symbol
_atom_site_fract_x
_atom_site_fract_y
_atom_site_fract_z
_atom_site_occupancy
Pm1 Pm 0.0000 0.0000 0.2183 1
Dy1 Dy 0.5000 0.5000 0.5000 1
Ag1 Ag 0.5000 0.5000 0.0000 1
# Volume = 118.7 Å³/cell
# D(E_F) = 6.16 states/eV/cell
# ΔH_f (0 K) = -10 kJ per mole of atoms
# Electronic total energy = -4.34 eV per atom

=====

# AcNd6Dy8 | Alexandria | PBE-GGA | relaxed
data_AcNd6Dy8
_chemical_formula_sum 'Ac3 Nd18 Dy24'
_cell_length_a 9.3660
_cell_length_b 9.3660
_cell_length_c 20.3358
_cell_angle_alpha 90.00
_cell_angle_beta 90.00
_cell_angle_gamma 120.00
_space_group_name_H-M_alt 'R -3'
_space_group_IT_number 148
_space_group_name_Hall '-R 3'
loop_
_atom_site_label
_atom_site_type_symbol
_atom_site_fract_x
_atom_site_fract_y
_atom_site_fract_z
_atom_site_occupancy
Ac1 Ac 0.0000 0.0000 0.0000 1
Nd1 Nd 0.0395 0.2413 0.6921 1
Dy1 Dy 0.0000 0.0000 0.4298 1
Dy2 Dy 0.0605 0.2489 0.1652 1
# Volume = 1544.9 Å³/cell
# D(E_F) = 63.64 states/eV/cell
# ΔH_f (0 K) = 16 kJ per mole of atoms
# Electronic total energy = -4.47 eV per atom

=====

# TcNi2Cl | Alexandria | PBE-GGA | relaxed
data_TcNi2Cl
_chemical_formula_sum 'Tc4 Ni8 Cl4'
_cell_length_a 6.0633
_cell_length_b 6.0633
_cell_length_c 6.0633
_cell_angle_alpha 90.00
_cell_angle_beta 90.00
_cell_angle_gamma 90.00
_space_group_name_H-M_alt 'F m -3 m'
_space_group_IT_number 225
_space_group_name_Hall '-F 4 2 3'
loop_
_atom_site_label
_atom_site_type_symbol
_atom_site_fract_x
_atom_site_fract_y
_atom_site_fract_z
_atom_site_occupancy
Tc1 Tc 0.0000 0.0000 0.0000 1
Ni1 Ni 0.2500 0.2500 0.2500 1
Cl1 Cl 0.0000 0.0000 0.5000 1
# Volume = 222.9 Å³/cell
# D(E_F) = 17.17 states/eV/cell
# Electronic total energy = -5.01 eV per atom
# Formation energy (no corrections) = 0.935 eV per atom

=====

# SrMo2P | Alexandria | PBE-GGA | relaxed
data_SrMo2P
_chemical_formula_sum 'Sr2 Mo4 P2'
_cell_length_a 5.8065
_cell_length_b 10.4129
_cell_length_c 2.7808
_cell_angle_alpha 90.00
_cell_angle_beta 117.41
_cell_angle_gamma 90.00
_space_group_name_H-M_alt 'C 1 2/m 1'
_space_group_IT_number 12
_space_group_name_Hall '-C 2y'
loop_
_atom_site_label
_atom_site_type_symbol
_atom_site_fract_x
_atom_site_fract_y
_atom_site_fract_z
_atom_site_occupancy
Sr1 Sr 0.0000 0.0000 0.0000 1
Mo1 Mo 0.2500 0.2500 0.0000 1
P1 P 0.0000 0.5000 0.0000 1
# Volume = 149.3 Å³/cell
# D(E_F) = 8.32 states/eV/cell
# ΔH_f (0 K) = 76 kJ per mole of atoms
# Electronic total energy = -6.40 eV per atom

=====

# Hf2TiCuNi | Alexandria | PBE-GGA | relaxed
data_Hf2TiCuNi
_chemical_formula_sum 'Hf2 Ti1 Cu1 Ni1'
_cell_length_a 4.7918
_cell_length_b 4.7918
_cell_length_c 4.4419
_cell_angle_alpha 90.00
_cell_angle_beta 90.00
_cell_angle_gamma 90.00
_space_group_name_H-M_alt 'P 4/m m m'
_space_group_IT_number 123
_space_group_name_Hall '-P 4 2'
loop_
_atom_site_label
_atom_site_type_symbol
_atom_site_fract_x
_atom_site_fract_y
_atom_site_fract_z
_atom_site_occupancy
Hf1 Hf 0.0000 0.5000 0.0000 1
Ti1 Ti 0.0000 0.0000 0.5000 1
Cu1 Cu 0.5000 0.5000 0.5000 1
Ni1 Ni 0.0000 0.0000 0.0000 1
# Volume = 102.0 Å³/cell
# D(E_F) = 11.60 states/eV/cell
# ΔH_f (0 K) = 45 kJ per mole of atoms
# Electronic total energy = -7.07 eV per atom

=====

# La3Cu | Alexandria | PBE-GGA | relaxed
data_La3Cu
_chemical_formula_sum 'La12 Cu4'
_cell_length_a 7.1299
_cell_length_b 7.1299
_cell_length_c 10.5894
_cell_angle_alpha 90.00
_cell_angle_beta 90.00
_cell_angle_gamma 120.00
_space_group_name_H-M_alt 'P 63/m m c'
_space_group_IT_number 194
_space_group_name_Hall '-P 6c 2c'
loop_
_atom_site_label
_atom_site_type_symbol
_atom_site_fract_x
_atom_site_fract_y
_atom_site_fract_z
_atom_site_occupancy
La1 La 0.0000 0.5000 0.0000 1
La2 La 0.1527 0.3054 0.2500 1
Cu1 Cu 0.0000 0.0000 0.0000 1
Cu2 Cu 0.3333 0.6667 0.7500 1
# Volume = 466.2 Å³/cell
# D(E_F) = 23.75 states/eV/cell
# ΔH_f (0 K) = 11 kJ per mole of atoms
# Electronic total energy = -4.60 eV per atom

=====

# Th6Te3PRh2 | Alexandria | PBE-GGA | relaxed
data_Th6Te3PRh2
_chemical_formula_sum 'Th12 Te6 P2 Rh4'
_cell_length_a 7.3745
_cell_length_b 12.7191
_cell_length_c 7.8150
_cell_angle_alpha 90.00
_cell_angle_beta 108.25
_cell_angle_gamma 90.00
_space_group_name_H-M_alt 'C 1 2/m 1'
_space_group_IT_number 12
_space_group_name_Hall '-C 2y'
loop_
_atom_site_label
_atom_site_type_symbol
_atom_site_fract_x
_atom_site_fract_y
_atom_site_fract_z
_atom_site_occupancy
Th1 Th 0.2270 0.0000 0.2067 1
Th2 Th 0.2403 0.3291 0.2073 1
Te1 Te 0.0000 0.0000 0.5000 1
Te2 Te 0.0000 0.3383 0.5000 1
P1 P 0.0000 0.5000 0.0000 1
Rh1 Rh 0.0000 0.1671 0.0000 1
# Volume = 696.2 Å³/cell
# D(E_F) = 21.43 states/eV/cell
# Electronic total energy = -7.29 eV per atom
# Formation energy (no corrections) = -1.114 eV per atom

=====

# NaPtSe3 | Alexandria | PBE-GGA | relaxed
data_NaPtSe3
_chemical_formula_sum 'Na6 Pt6 Se18'
_cell_length_a 6.4609
_cell_length_b 6.4609
_cell_length_c 21.0302
_cell_angle_alpha 90.00
_cell_angle_beta 90.00
_cell_angle_gamma 120.00
_space_group_name_H-M_alt 'R -3'
_space_group_IT_number 148
_space_group_name_Hall '-R 3'
loop_
_atom_site_label
_atom_site_type_symbol
_atom_site_fract_x
_atom_site_fract_y
_atom_site_fract_z
_atom_site_occupancy
Na1 Na 0.0000 0.0000 0.1493 1
Pt1 Pt 0.0000 0.0000 0.3362 1
Se1 Se 0.0091 0.3810 0.9300 1
# Volume = 760.3 Å³/cell
# D(E_F) = 19.54 states/eV/cell
# Electronic total energy = -3.96 eV per atom
# Formation energy (no corrections) = -0.401 eV per atom

=====

# NaBiS3 | Alexandria | PBE-GGA | relaxed
data_NaBiS3
_chemical_formula_sum 'Na1 Bi1 S3'
_cell_length_a 4.8840
_cell_length_b 4.8840
_cell_length_c 4.8840
_cell_angle_alpha 90.00
_cell_angle_beta 90.00
_cell_angle_gamma 90.00
_space_group_name_H-M_alt 'P m -3 m'
_space_group_IT_number 221
_space_group_name_Hall '-P 4 2 3'
loop_
_atom_site_label
_atom_site_type_symbol
_atom_site_fract_x
_atom_site_fract_y
_atom_site_fract_z
_atom_site_occupancy
Na1 Na 0.0000 0.0000 0.0000 1
Bi1 Bi 0.5000 0.5000 0.5000 1
S1 S 0.0000 0.0000 0.5000 1
# Volume = 116.5 Å³/cell
# D(E_F) = 4.64 states/eV/cell
# Electronic total energy = -2.94 eV per atom
# Formation energy (no corrections) = 0.580 eV per atom

=====

# HoEr2N3 | Alexandria | PBE-GGA | relaxed
data_HoEr2N3
_chemical_formula_sum 'Ho4 Er8 N12'
_cell_length_a 6.8707
_cell_length_b 4.8576
_cell_length_c 10.3075
_cell_angle_alpha 90.00
_cell_angle_beta 90.00
_cell_angle_gamma 90.00
_space_group_name_H-M_alt 'P n m a'
_space_group_IT_number 62
_space_group_name_Hall '-P 2ac 2n'
loop_
_atom_site_label
_atom_site_type_symbol
_atom_site_fract_x
_atom_site_fract_y
_atom_site_fract_z
_atom_site_occupancy
Ho1 Ho 0.1253 0.2500 0.0834 1
Er1 Er 0.1248 0.2500 0.4167 1
Er2 Er 0.1250 0.2500 0.7498 1
N1 N 0.1241 0.7500 0.4162 1
N2 N 0.1251 0.7500 0.7501 1
N3 N 0.1261 0.7500 0.0836 1
# Volume = 344.0 Å³/cell
# D(E_F) = 0.98 states/eV/cell
# Electronic total energy = -8.22 eV per atom
# Formation energy (no corrections) = -1.770 eV per atom

=====

# K2CuMo | Alexandria | PBE-GGA | relaxed
data_K2CuMo
_chemical_formula_sum 'K4 Cu2 Mo2'
_cell_length_a 5.5188
_cell_length_b 5.5188
_cell_length_c 7.7733
_cell_angle_alpha 90.00
_cell_angle_beta 90.00
_cell_angle_gamma 90.00
_space_group_name_H-M_alt 'I -4 m 2'
_space_group_IT_number 119
_space_group_name_Hall 'I -4 -2'
loop_
_atom_site_label
_atom_site_type_symbol
_atom_site_fract_x
_atom_site_fract_y
_atom_site_fract_z
_atom_site_occupancy
K1 K 0.0000 0.0000 0.0000 1
K2 K 0.0000 0.5000 0.2500 1
Cu1 Cu 0.0000 0.5000 0.7500 1
Mo1 Mo 0.0000 0.0000 0.5000 1
# Volume = 236.8 Å³/cell
# D(E_F) = 2.57 states/eV/cell
# ΔH_f (0 K) = 127 kJ per mole of atoms
# Electronic total energy = -2.97 eV per atom

=====

# PmSmDyEr | Alexandria | PBE-GGA | relaxed
data_PmSmDyEr
_chemical_formula_sum 'Pm4 Sm4 Dy4 Er4'
_cell_length_a 8.0668
_cell_length_b 8.0668
_cell_length_c 8.0668
_cell_angle_alpha 90.00
_cell_angle_beta 90.00
_cell_angle_gamma 90.00
_space_group_name_H-M_alt 'F -4 3 m'
_space_group_IT_number 216
_space_group_name_Hall 'F -4 2 3'
loop_
_atom_site_label
_atom_site_type_symbol
_atom_site_fract_x
_atom_site_fract_y
_atom_site_fract_z
_atom_site_occupancy
Pm1 Pm 0.0000 0.0000 0.0000 1
Sm1 Sm 0.0000 0.0000 0.5000 1
Dy1 Dy 0.2500 0.2500 0.2500 1
Er1 Er 0.2500 0.2500 0.7500 1
# Volume = 524.9 Å³/cell
# D(E_F) = 32.99 states/eV/cell
# ΔH_f (0 K) = 12 kJ per mole of atoms
# Electronic total energy = -4.54 eV per atom